Here is SrCa2Co after structural relaxation from Alexandria. Energies are from PBE.

Cell: 5.222 5.230 9.548 Å, 90.00 90.00 90.00°
Space group Cmm2 (No. 35)
One atom of each set of equivalent atoms:
Sr1 0.000 0.000 0.000
Ca1 0.000 0.000 0.647
Ca2 0.000 0.500 0.340
Co1 0.000 0.500 0.806

## Properties
E_form	0.28	eV/atom
distance to the lowest polymorph of the same formula	0.024	eV per atom
N(E_F)	1.91	states/eV/atom
VASP energy	-2.92	eV/atom



Here is PaCo12Si6 after structural relaxation from Alexandria. Energies are from PBE.

Cell: 10.3695 10.3695 7.5123 Å, 90.00 90.00 120.00°
Space group R-3m (No. 166, hexagonal axes)
One atom of each set of equivalent atoms:
Pa1 0.0000 0.0000 0.0000
Co1 0.0000 0.3727 0.5000
Co2 0.0815 0.1629 0.3393
Si1 0.0358 0.5179 0.2659

## Properties
N(E_F)	0.96	states/eV/atom
VASP energy	-7.06	eV/atom



Here is Cr2CuAs after structural relaxation from Alexandria. Energies are from PBE.

Cell: 3.766 3.766 7.219 Å, 90.00 90.00 90.00°
Space group I4/mmm (No. 139)
One atom of each set of equivalent atoms:
Cr1 0.000 0.500 0.250
Cu1 0.000 0.000 0.000
As1 0.000 0.000 0.500

## Properties
E_form	0.24	eV/atom
N(E_F)	1.41	states/eV/atom
VASP energy	-6.76	eV/atom